1.
A plane-wave DFT calculation with SCAN was carried out for MnInSiAs2 at its PBEsol-relaxed geometry.

```
MnInSiAs2
1.0
4.412 0.000 0.000
0.000 4.412 0.000
0.000 0.000 5.099
Mn In Si As
1 1 1 2
direct
0.000 0.000 0.000
0.000 0.000 0.500
0.500 0.500 0.500
0.000 0.500 0.000
0.500 0.000 0.000
```

The raw formation energy comes out at 0.648 eV/atom.

2.
A plane-wave DFT calculation with SCAN was carried out for InMo3As at its PBEsol-relaxed geometry.

```
InMo3As
1.0
4.580 0.000 0.000
0.000 4.580 0.000
0.000 0.000 4.580
In Mo As
1 3 1
direct
0.000 0.000 0.000
0.000 0.500 0.500
0.500 0.000 0.500
0.500 0.500 0.000
0.500 0.500 0.500
```

As for the energy of formation from the pure elements: 0.948 eV per atom.

3.
A plane-wave DFT calculation with SCAN was carried out for InMoAs2 at its PBEsol-relaxed geometry.

```
InMoAs2
1.0
3.142 0.000 0.000
0.000 3.142 0.000
0.000 0.000 7.531
In Mo As
1 1 2
direct
0.000 0.000 0.000
0.000 0.000 0.500
0.500 0.500 0.308
0.500 0.500 0.692
```

As for the energy of formation from the pure elements: -0.037 eV per atom.

For reference, D(E_F) by record: 0.73, 1.14, 0.58 states/eV/atom.
For reference, total magnetic moment by record: 0.005, 0.000, 0.000 Bohr magnetons per cell.